# PBE Mg2SnHg2, relaxed
data_Mg2SnHg2
_cell_length_a 4.194
_cell_length_b 4.194
_cell_length_c 7.760
_cell_angle_alpha 74.32
_cell_angle_beta 74.32
_cell_angle_gamma 90.00
_space_group_name_H-M_alt 'P 1'
_space_group_IT_number 1
loop_
_space_group_symop_operation_xyz
'x,y,z'
loop_
_atom_site_label
_atom_site_type_symbol
_atom_site_fract_x
_atom_site_fract_y
_atom_site_fract_z
Mg1 Mg 0.399 0.399 0.203
Mg2 Mg 0.601 0.601 0.797
Hg1 Hg 0.750 0.250 0.500
Hg2 Hg 0.250 0.750 0.500
Sn1 Sn 0.000 0.000 0.000
# Space group: I4/mmm (139)
# Volume in A^3/atom: 25.23
# ΔH_f (0 K) in eV per atom: -0.001
# E above lowest polymorph in meV/atom: 129
# Total energy in eV per formula unit: -7.80